# 1
A relaxed structure of Re2AsBr, computed with PBEsol.

Calculated values
**Total moment**: 0.00 μB per formula unit
**Formation energy without anion corrections**: 0.828 eV per atom
**Raw total energy**: -7.58 eV/atom
**Polymorph energy (0 for the lowest one)**: 0 meV per atom
**Symmetry**: P2/m
**Density of states at the Fermi level**: 0.88 states/eV/atom

Structure (POSCAR):
```
Re2AsBr
1.0
4.348 0.000 0.000
0.000 2.953 0.000
-2.066 0.000 4.769
Re As Br
2 1 1
Direct
0.000 0.000 0.000
0.000 0.500 0.500
0.500 0.000 0.500
0.500 0.500 0.000
```

***

# 2
A relaxed structure of ReAsBr2, computed with PBEsol.

Calculated values
**Total moment**: 0.00 μB per formula unit
**Formation energy without anion corrections**: 1.247 eV per atom
**Raw total energy**: -4.30 eV/atom
**Polymorph energy (0 for the lowest one)**: 909 meV per atom
**Symmetry**: P4/mmm
**Density of states at the Fermi level**: 0.65 states/eV/atom

Structure (POSCAR):
```
ReAsBr2
1.0
4.647 0.000 0.000
0.000 4.647 0.000
0.000 0.000 3.271
Re As Br
1 1 2
Direct
0.000 0.000 0.000
0.500 0.500 0.000
0.000 0.500 0.500
0.500 0.000 0.500
```